No. 1
A plane-wave DFT calculation with PBE-GGA was carried out for a geometry-optimized Pr6PtRh3 structure.

Summary:
E_form = -563.7 meV/atom
VASP energy = -6.2409 eV per atom

a b c (Å): 11.158 14.408 7.233
angles (deg): 90.00 90.00 90.00
Space group Cmc2_1 (No. 36)
Inequivalent atoms, fractional coordinates:
Pr 0.000 0.013 0.000 [4 per cell]
Pr 0.000 0.234 0.360 [4 per cell]
Pr 0.168 0.273 0.925 [8 per cell]
Pr 0.171 0.470 0.379 [8 per cell]
Pt 0.000 0.158 0.723 [4 per cell]
Rh 0.000 0.401 0.106 [4 per cell]
Rh 0.185 0.115 0.192 [8 per cell]

***

No. 2
A plane-wave DFT calculation with PBE-GGA was carried out for a geometry-optimized Pr4PtRh structure.

Summary:
E_form = -581.1 meV/atom
E above lowest polymorph = 0.00 eV/f.u.
VASP energy = -5.9995 eV per atom

a b c (Å): 7.129 7.129 6.650
angles (deg): 90.00 90.00 90.00
Space group P4/mcc (No. 124)
Inequivalent atoms, fractional coordinates:
Pr 0.181 0.314 0.000 [8 per cell]
Pt 0.500 0.500 0.250 [2 per cell]
Rh 0.000 0.000 0.250 [2 per cell]

***

No. 3
A plane-wave DFT calculation with PBE-GGA was carried out for a geometry-optimized Pr3Pt2Rh structure.

Summary:
E_form = -896.3 meV/atom
VASP energy = -6.5248 eV per atom

a b c (Å): 12.019 4.188 12.046
angles (deg): 90.00 90.00 90.00
Space group Pnma (No. 62)
Inequivalent atoms, fractional coordinates:
Pr 0.048 0.250 0.125 [4 per cell]
Pr 0.123 0.750 0.557 [4 per cell]
Pr 0.220 0.250 0.808 [4 per cell]
Pt 0.001 0.250 0.696 [4 per cell]
Pt 0.177 0.750 0.997 [4 per cell]
Rh 0.124 0.250 0.376 [4 per cell]

***

No. 4
A plane-wave DFT calculation with PBE-GGA was carried out for a geometry-optimized Pr4PtRh2 structure.

Summary:
E_form = -734.6 meV/atom
VASP energy = -6.4292 eV per atom

a b c (Å): 8.932 12.762 7.788
angles (deg): 90.00 124.94 90.00
Space group Cc (No. 9)
Inequivalent atoms, fractional coordinates:
Pr 0.000 0.001 0.000 [4 per cell]
Pr 0.198 0.310 0.619 [4 per cell]
Pr 0.370 0.251 0.241 [4 per cell]
Pr 0.450 0.061 0.623 [4 per cell]
Pt 0.254 0.125 0.871 [4 per cell]
Rh 0.068 0.186 0.249 [4 per cell]
Rh 0.191 0.436 0.993 [4 per cell]

***

No. 5
A plane-wave DFT calculation with PBE-GGA was carried out for a geometry-optimized Pr4Pt2Rh structure.

Summary:
E_form = -833.3 meV/atom
VASP energy = -6.3406 eV per atom

a b c (Å): 11.620 9.185 7.700
angles (deg): 90.00 110.68 90.00
Space group Cm (No. 8)
Inequivalent atoms, fractional coordinates:
Pr 0.000 0.000 0.000 [2 per cell]
Pr 0.000 0.000 0.488 [2 per cell]
Pr 0.229 0.246 0.358 [4 per cell]
Pr 0.234 0.245 0.857 [4 per cell]
Pr 0.498 0.000 0.487 [2 per cell]
Pr 0.498 0.000 0.999 [2 per cell]
Pt 0.270 0.500 0.120 [2 per cell]
Pt 0.283 0.500 0.637 [2 per cell]
Pt 0.454 0.249 0.221 [4 per cell]
Rh 0.268 0.000 0.117 [2 per cell]
Rh 0.280 0.000 0.637 [2 per cell]

***

No. 6
A plane-wave DFT calculation with PBE-GGA was carried out for a geometry-optimized Pr3Pt4Rh4 structure.

Summary:
E_form = -458.7 meV/atom
VASP energy = -6.6321 eV per atom

a b c (Å): 7.812 7.812 7.812
angles (deg): 90.00 90.00 90.00
Space group I-43m (No. 217)
Inequivalent atoms, fractional coordinates:
Pr 0.000 0.000 0.500 [6 per cell]
Pt 0.203 0.203 0.797 [8 per cell]
Rh 0.117 0.117 0.117 [8 per cell]

***

No. 7
A plane-wave DFT calculation with PBE-GGA was carried out for a geometry-optimized Pr3PtRh structure.

Summary:
E_form = -715.5 meV/atom
E above lowest polymorph = 0.20 eV/f.u.
VASP energy = -6.2616 eV per atom

a b c (Å): 8.389 4.029 8.475
angles (deg): 90.00 107.69 90.00
Space group P2_1/m (No. 11)
Inequivalent atoms, fractional coordinates:
Pr 0.037 0.250 0.185 [2 per cell]
Pr 0.258 0.750 0.574 [2 per cell]
Pr 0.392 0.750 0.136 [2 per cell]
Pt 0.238 0.250 0.844 [2 per cell]
Rh 0.385 0.250 0.394 [2 per cell]

***

No. 8
A plane-wave DFT calculation with PBE-GGA was carried out for a geometry-optimized Pr2Sb4PtRh3 structure.

Summary:
VASP energy = -6.2348 eV per atom

a b c (Å): 4.606 4.606 10.415
angles (deg): 90.00 90.00 90.00
Space group P-4m2 (No. 115)
Inequivalent atoms, fractional coordinates:
Pr 0.000 0.500 0.245 [2 per cell]
Sb 0.000 0.000 0.500 [1 per cell]
Sb 0.000 0.500 0.868 [2 per cell]
Sb 0.500 0.500 0.500 [1 per cell]
Pt 0.500 0.500 0.000 [1 per cell]
Rh 0.000 0.000 0.000 [1 per cell]
Rh 0.000 0.500 0.621 [2 per cell]

***

No. 9
A plane-wave DFT calculation with PBE-GGA was carried out for a geometry-optimized Pr2Sb3Pt4Rh structure.

Summary:
VASP energy = -6.0762 eV per atom

a b c (Å): 4.471 4.471 10.961
angles (deg): 90.00 90.00 90.00
Space group P-4m2 (No. 115)
Inequivalent atoms, fractional coordinates:
Pr 0.000 0.500 0.245 [2 per cell]
Sb 0.000 0.000 0.000 [1 per cell]
Sb 0.000 0.500 0.632 [2 per cell]
Pt 0.000 0.000 0.500 [1 per cell]
Pt 0.000 0.500 0.865 [2 per cell]
Pt 0.500 0.500 0.500 [1 per cell]
Rh 0.500 0.500 0.000 [1 per cell]

***

No. 10
A plane-wave DFT calculation with PBE-GGA was carried out for a geometry-optimized Pr2Sb3PtRh4 structure.

Summary:
VASP energy = -6.4899 eV per atom

a b c (Å): 4.344 4.344 11.173
angles (deg): 90.00 90.00 90.00
Space group P-4m2 (No. 115)
Inequivalent atoms, fractional coordinates:
Pr 0.000 0.500 0.233 [2 per cell]
Sb 0.000 0.000 0.000 [1 per cell]
Sb 0.000 0.500 0.633 [2 per cell]
Pt 0.500 0.500 0.000 [1 per cell]
Rh 0.000 0.000 0.500 [1 per cell]
Rh 0.000 0.500 0.860 [2 per cell]
Rh 0.500 0.500 0.500 [1 per cell]

***

No. 11
A plane-wave DFT calculation with PBE-GGA was carried out for a geometry-optimized Pr3Si6PtRh2 structure.

Summary:
VASP energy = -6.1027 eV per atom

a b c (Å): 5.4459 5.4459 9.3682
angles (deg): 90.00 90.00 120.00
Space group P-3m1 (No. 164)
Inequivalent atoms, fractional coordinates:
Pr 0.0000 0.0000 0.0000 [1 per cell]
Pr 0.3333 0.6667 0.5834 [2 per cell]
Si 0.1663 0.3326 0.2782 [6 per cell]
Pt 0.0000 0.0000 0.5000 [1 per cell]
Rh 0.3333 0.6667 0.0869 [2 per cell]

***

No. 12
A plane-wave DFT calculation with PBE-GGA was carried out for a geometry-optimized Pr2Si3Pt12Rh structure.

Summary:
VASP energy = -6.2595 eV per atom

a b c (Å): 8.2216 8.2216 18.4762
angles (deg): 90.00 90.00 120.00
Space group R-3m (No. 166, hexagonal axes)
Inequivalent atoms, fractional coordinates:
Pr 0.0000 0.0000 0.1133 [6 per cell]
Si 0.0000 0.5000 0.0000 [9 per cell]
Pt 0.0054 0.5027 0.8742 [18 per cell]
Pt 0.0296 0.5148 0.3688 [18 per cell]
Rh 0.0000 0.0000 0.5000 [3 per cell]